(1)
First-principles (PBE-GGA) data for a geometry-optimized ScAlMo2 structure, as listed in Alexandria.

**Magnetization**: 0.00 μB per formula unit
**Total energy**: -8.0014 eV per atom
**Calculated volume**: 17.09 A^3/atom

Structure (extended XYZ):
```
4
Lattice="-0.970 -3.832 2.013 2.425 0.170 1.491 -1.506 2.780 4.564" Properties=species:S:1:pos:R:3 pbc="T T T"
Sc 0.444 1.453 2.978
Mo 0.049 0.038 0.096
Mo -0.390 -1.241 2.336
Al 0.305 0.343 5.686
```



(2)
First-principles (PBE-GGA) data for a geometry-optimized Sc2AlMo structure, as listed in Alexandria.

**Magnetization**: 0.00 μB per formula unit
**Total energy**: -6.9348 eV per atom
**Calculated volume**: 19.03 A^3/atom

Structure (extended XYZ):
```
4
Lattice="-2.936 0.503 -1.610 -1.660 -1.434 2.578 -0.587 5.936 2.924" Properties=species:S:1:pos:R:3 pbc="T T T"
Sc -0.578 5.844 2.878
Sc -0.303 3.061 1.507
Mo -2.738 3.987 2.676
Al -2.444 1.019 1.215
```



(3)
First-principles (PBE-GGA) data for a geometry-optimized ScAlMo2 structure, as listed in Alexandria.

**Magnetization**: 0.00 μB per formula unit
**Total energy**: -8.1284 eV per atom
**Calculated volume**: 16.65 A^3/atom

Structure (extended XYZ):
```
4
Lattice="4.549 0.000 0.000 2.275 3.940 0.000 2.275 1.313 3.715" Properties=species:S:1:pos:R:3 pbc="T T T"
Sc 6.824 3.940 2.786
Mo 0.000 0.000 0.000
Mo 2.275 1.313 0.929
Al 4.549 2.627 1.857
```



(4)
First-principles (PBE-GGA) data for a geometry-optimized ScAlMo2 structure, as listed in Alexandria.

**Magnetization**: 0.00 μB per formula unit
**Total energy**: -7.9080 eV per atom
**Calculated volume**: 16.83 A^3/atom

Structure (extended XYZ):
```
4
Lattice="-1.416 -0.443 2.319 0.669 -2.668 -0.101 7.305 1.651 4.778" Properties=species:S:1:pos:R:3 pbc="T T T"
Sc 1.453 -1.143 2.303
Mo 7.146 1.615 4.674
Mo 3.812 0.862 2.493
Al 5.106 -0.318 4.692
```



(5)
First-principles (PBE-GGA) data for a geometry-optimized Sc2AlMo structure, as listed in Alexandria.

**Magnetization**: 0.00 μB per formula unit
**Total energy**: -6.8785 eV per atom
**Calculated volume**: 19.31 A^3/atom

Structure (extended XYZ):
```
4
Lattice="4.750 0.000 0.000 0.000 2.995 0.081 0.000 1.308 5.465" Properties=species:S:1:pos:R:3 pbc="T T T"
Sc 0.000 4.136 5.285
Sc 2.375 1.244 1.627
Mo 2.375 2.676 4.190
Al 0.000 2.701 2.763
```



(6)
First-principles (PBE-GGA) data for a geometry-optimized ScAl2Mo structure, as listed in Alexandria.

**Magnetization**: 0.35 μB per formula unit
**Calculated volume**: 17.05 A^3/atom
**Excess energy over the best structure of this formula in the dataset**: 118 meV/atom

Structure (extended XYZ):
```
4
Lattice="-5.095 0.448 1.080 -3.210 -2.768 -3.068 4.210 -0.765 3.011" Properties=species:S:1:pos:R:3 pbc="T T T"
Sc -1.587 -2.350 -0.530
Mo -4.203 -1.174 -1.005
Al -8.238 -2.303 -1.971
Al -2.525 -0.738 1.546
```



(7)
First-principles (PBE-GGA) data for a geometry-optimized ScAlMo2 structure, as listed in Alexandria.

**Magnetization**: 0.00 μB per formula unit
**Total energy**: -7.8871 eV per atom
**Calculated volume**: 16.98 A^3/atom

Structure (extended XYZ):
```
4
Lattice="4.888 -0.004 0.000 4.090 2.675 0.000 0.328 0.098 5.188" Properties=species:S:1:pos:R:3 pbc="T T T"
Sc 4.743 1.411 2.561
Mo 9.194 2.736 5.184
Mo 6.973 2.075 3.962
Al 2.356 0.701 1.261
```



(8)
First-principles (PBE-GGA) data for a geometry-optimized ScAlMo structure, as listed in Alexandria.

**Magnetization**: 0.00 μB per formula unit
**Calculated volume**: 17.67 A^3/atom
**Excess energy over the best structure of this formula in the dataset**: 240 meV/atom

Structure (extended XYZ):
```
3
Lattice="6.911 -0.017 0.015 6.228 2.763 0.033 0.683 -0.334 2.760" Properties=species:S:1:pos:R:3 pbc="T T T"
Sc 9.023 1.728 0.944
Mo 4.928 0.716 1.836
Al 13.010 2.714 0.076
```



(9)
First-principles (PBE-GGA) data for a geometry-optimized ScAl2Mo structure, as listed in Alexandria.

**Magnetization**: 0.00 μB per formula unit
**Calculated volume**: 16.73 A^3/atom
**Excess energy over the best structure of this formula in the dataset**: 304 meV/atom

Structure (extended XYZ):
```
4
Lattice="4.557 0.000 0.000 2.279 3.947 0.000 2.279 1.316 3.721" Properties=species:S:1:pos:R:3 pbc="T T T"
Sc 6.836 3.947 2.791
Mo 4.557 2.631 1.860
Al 0.000 0.000 0.000
Al 2.279 1.316 0.930
```



(10)
First-principles (PBE-GGA) data for a geometry-optimized Sc2AlMo2 structure, as listed in Alexandria.

**Magnetization**: 0.00 μB per formula unit
**Total energy**: -7.5931 eV per atom
**Calculated volume**: 19.40 A^3/atom

Structure (extended XYZ):
```
10
Lattice="6.834 0.000 0.000 0.000 6.834 0.000 0.000 0.000 4.154" Properties=species:S:1:pos:R:3 pbc="T T T"
Sc 1.182 4.599 2.077
Sc 4.599 5.653 2.077
Sc 5.653 2.236 2.077
Sc 2.236 1.182 2.077
Mo 2.572 5.990 0.000
Mo 5.990 4.262 0.000
Mo 4.262 0.845 0.000
Mo 0.845 2.572 0.000
Al 0.000 0.000 0.000
Al 3.417 3.417 0.000
```



(11)
First-principles (PBE-GGA) data for a geometry-optimized ScAl2Mo structure, as listed in Alexandria.

**Magnetization**: 0.00 μB per formula unit
**Calculated volume**: 17.48 A^3/atom
**Excess energy over the best structure of this formula in the dataset**: 279 meV/atom

Structure (extended XYZ):
```
4
Lattice="2.893 0.006 0.000 -0.736 2.798 0.000 0.000 0.000 8.634" Properties=species:S:1:pos:R:3 pbc="T T T"
Sc 1.078 1.402 6.391
Mo 0.000 0.000 4.181
Al 0.000 0.000 0.141
Al 1.078 1.402 2.239
```



(12)
First-principles (PBE-GGA) data for a geometry-optimized ScAlMo2 structure, as listed in Alexandria.

**Magnetization**: 0.00 μB per formula unit
**Total energy**: -7.4376 eV per atom
**Calculated volume**: 17.97 A^3/atom

Structure (extended XYZ):
```
8
Lattice="-1.695 5.150 -4.944 -6.868 0.211 2.574 -3.572 4.581 0.551" Properties=species:S:1:pos:R:3 pbc="T T T"
Sc 0.000 0.000 0.000
Sc -4.774 6.206 -2.789
Mo -2.762 4.242 -2.489
Mo -5.446 2.069 0.986
Mo -6.088 5.452 -0.402
Mo -9.974 8.121 -1.735
Al -4.281 2.681 -1.185
Al -7.361 3.736 0.970
```



(13)
First-principles (PBE-GGA) data for a geometry-optimized ScAl2Mo structure, as listed in Alexandria.

**Magnetization**: 0.00 μB per formula unit
**Calculated volume**: 16.71 A^3/atom
**Excess energy over the best structure of this formula in the dataset**: 134 meV/atom

Structure (extended XYZ):
```
4
Lattice="0.000 3.221 3.221 3.221 0.000 3.221 3.221 3.221 0.000" Properties=species:S:1:pos:R:3 pbc="T T T"
Sc 0.000 0.000 0.000
Mo 3.221 3.221 3.221
Al 1.610 1.610 1.610
Al 4.831 4.831 4.831
```



(14)
First-principles (PBE-GGA) data for a geometry-optimized Sc2AlMo structure, as listed in Alexandria.

**Magnetization**: 0.00 μB per formula unit
**Total energy**: -6.8350 eV per atom
**Calculated volume**: 19.10 A^3/atom

Structure (extended XYZ):
```
4
Lattice="2.913 0.035 0.000 -0.037 2.913 0.000 0.000 0.000 8.999" Properties=species:S:1:pos:R:3 pbc="T T T"
Sc 0.000 0.000 8.773
Sc 1.438 1.474 2.506
Mo 1.438 1.474 6.551
Al 0.000 0.000 4.666
```



(15)
First-principles (PBE-GGA) data for a geometry-optimized Sc2AlMo structure, as listed in Alexandria.

**Magnetization**: 0.00 μB per formula unit
**Total energy**: -6.8825 eV per atom
**Calculated volume**: 19.86 A^3/atom

Structure (extended XYZ):
```
4
Lattice="-0.875 -0.050 3.312 2.508 -2.247 0.628 4.274 5.108 1.207" Properties=species:S:1:pos:R:3 pbc="T T T"
Sc 4.068 4.862 1.148
Sc 2.112 0.399 2.336
Mo 3.845 2.470 2.825
Al 2.294 2.741 0.647
```



(16)
First-principles (PBE-GGA) data for a geometry-optimized ScAl2Mo structure, as listed in Alexandria.

**Magnetization**: 0.86 μB per formula unit
**Calculated volume**: 17.11 A^3/atom
**Excess energy over the best structure of this formula in the dataset**: 123 meV/atom

Structure (extended XYZ):
```
4
Lattice="-2.341 -0.765 -1.469 1.643 -0.729 -2.234 0.646 -7.736 3.001" Properties=species:S:1:pos:R:3 pbc="T T T"
Sc 0.136 -6.549 0.399
Mo -0.187 -2.681 -1.101
Al 0.012 -0.142 0.055
Al 0.311 -3.726 1.445
```



(17)
First-principles (PBE-GGA) data for a geometry-optimized ScAl3Mo structure, as listed in Alexandria.

**Magnetization**: 3.14 μB per formula unit
**Calculated volume**: 24.61 A^3/atom
**Excess energy over the best structure of this formula in the dataset**: 1255 meV/atom

Structure (extended XYZ):
```
5
Lattice="4.974 0.000 0.000 0.000 4.974 0.000 0.000 0.000 4.974" Properties=species:S:1:pos:R:3 pbc="T T T"
Sc 0.000 0.000 0.000
Mo 2.487 2.487 2.487
Al 0.000 2.487 0.000
Al 0.000 0.000 2.487
Al 2.487 0.000 0.000
```



(18)
First-principles (PBE-GGA) data for a geometry-optimized ScAlMo2 structure, as listed in Alexandria.

**Magnetization**: 0.00 μB per formula unit
**Total energy**: -8.0244 eV per atom
**Calculated volume**: 17.18 A^3/atom

Structure (extended XYZ):
```
4
Lattice="-4.962 -1.569 0.912 -0.780 -2.235 4.724 1.655 4.435 -2.348" Properties=species:S:1:pos:R:3 pbc="T T T"
Sc -2.790 -1.848 2.738
Mo -0.118 -0.078 0.116
Mo -0.893 0.218 2.494
Al -3.157 0.437 0.758
```



(19)
First-principles (PBE-GGA) data for a geometry-optimized Sc2AlMo structure, as listed in Alexandria.

**Magnetization**: 0.00 μB per formula unit
**Total energy**: -6.7952 eV per atom
**Calculated volume**: 18.79 A^3/atom

Structure (extended XYZ):
```
4
Lattice="5.078 -0.025 0.091 4.141 2.940 0.091 1.053 0.333 5.021" Properties=species:S:1:pos:R:3 pbc="T T T"
Sc 9.193 2.907 0.190
Sc 5.163 1.632 2.593
Mo 2.568 0.812 1.301
Al 7.704 2.436 3.902
```



(20)
First-principles (PBE-GGA) data for a geometry-optimized ScAl2Mo structure, as listed in Alexandria.

**Magnetization**: 0.00 μB per formula unit
**Calculated volume**: 17.03 A^3/atom
**Excess energy over the best structure of this formula in the dataset**: 200 meV/atom

Structure (extended XYZ):
```
4
Lattice="-3.085 1.937 3.600 -3.697 -0.838 3.444 2.702 -0.824 4.078" Properties=species:S:1:pos:R:3 pbc="T T T"
Sc -1.072 0.080 2.779
Mo -1.893 0.105 5.558
Al 2.615 -0.809 4.161
Al -3.068 0.213 8.264
```